# SrCd2Tc PBE optimized geometry
data_SrCd2Tc
_chemical_formula_sum 'Sr4 Cd8 Tc4'
_cell_length_a 7.247
_cell_length_b 7.247
_cell_length_c 7.247
_cell_angle_alpha 90.00
_cell_angle_beta 90.00
_cell_angle_gamma 90.00
_space_group_name_H-M_alt 'F -4 3 m'
_space_group_IT_number 216
_space_group_name_Hall 'F -4 2 3'
loop_
_atom_site_label
_atom_site_type_symbol
_atom_site_fract_x
_atom_site_fract_y
_atom_site_fract_z
_atom_site_occupancy
Sr1 Sr 0.000 0.000 0.000 1
Cd1 Cd 0.000 0.000 0.500 1
Cd2 Cd 0.250 0.250 0.750 1
Tc1 Tc 0.250 0.250 0.250 1
# Formation energy = 0.5857 eV per atom
# Offset from the most stable computed form = 0.247 eV/atom


# Nd2HoEr6 PBE optimized geometry
data_Nd2HoEr6
_chemical_formula_sum 'Nd4 Ho2 Er12'
_cell_length_a 10.619
_cell_length_b 10.619
_cell_length_c 5.037
_cell_angle_alpha 90.00
_cell_angle_beta 90.00
_cell_angle_gamma 90.00
_space_group_name_H-M_alt 'P 42/m n m'
_space_group_IT_number 136
_space_group_name_Hall '-P 4n 2n'
loop_
_atom_site_label
_atom_site_type_symbol
_atom_site_fract_x
_atom_site_fract_y
_atom_site_fract_z
_atom_site_occupancy
Nd1 Nd 0.166 0.166 0.000 1
Ho1 Ho 0.000 0.000 0.500 1
Er1 Er 0.001 0.334 0.500 1
Er2 Er 0.167 0.833 0.000 1
# Formation energy = 0.0234 eV per atom
# Offset from the most stable computed form = 0.000 eV/atom


# Pr5Ho3Cd PBE optimized geometry
data_Pr5Ho3Cd
_chemical_formula_sum 'Pr20 Ho12 Cd4'
_cell_length_a 14.788
_cell_length_b 11.836
_cell_length_c 9.314
_cell_angle_alpha 90.00
_cell_angle_beta 122.68
_cell_angle_gamma 90.00
_space_group_name_H-M_alt 'C 1 2/m 1'
_space_group_IT_number 12
_space_group_name_Hall '-C 2y'
loop_
_atom_site_label
_atom_site_type_symbol
_atom_site_fract_x
_atom_site_fract_y
_atom_site_fract_z
_atom_site_occupancy
Pr1 Pr 0.000 0.243 0.000 1
Pr2 Pr 0.051 0.000 0.347 1
Pr3 Pr 0.168 0.266 0.700 1
Pr4 Pr 0.186 0.500 0.433 1
Ho1 Ho 0.000 0.500 0.000 1
Ho2 Ho 0.000 0.500 0.500 1
Ho3 Ho 0.145 0.000 0.086 1
Ho4 Ho 0.205 0.000 0.784 1
Cd1 Cd 0.129 0.500 0.857 1
# Formation energy = 0.4316 eV per atom